Crystalline YCrRh3 at its relaxed geometry, computed with GGA-PBEsol.

Cell lengths 4.7324, 4.7324, 4.7324 Å; angles 90.00, 90.00, 90.00 degrees
With the nearest neighbours (Å) after each atom.
Space group Pm-3m (No. 221)
Inequivalent atoms, fractional coordinates:
Y (0.0000, 0.0000, 0.0000) (multiplicity 1)  6 Rh 2.37
Cr (0.5000, 0.5000, 0.5000) (multiplicity 1)  12 Rh 3.35
Rh (0.0000, 0.0000, 0.5000) (multiplicity 3)  2 Y 2.37

Output
As for the density of states at the Fermi level: 10.1 states/eV per cell. The value obtained for the total energy is -6.763 eV/atom. For the total magnetic moment, the calculation gives 3.95 μB/f.u. The energy of formation from the pure elements comes out at 1532.8 meV per atom.

---

Crystalline YCr3Rh at its relaxed geometry, computed with GGA-PBEsol.

Cell lengths 4.6223, 4.6223, 4.6223 Å; angles 90.00, 90.00, 90.00 degrees
With the nearest neighbours (Å) after each atom.
Space group Pm-3m (No. 221)
Inequivalent atoms, fractional coordinates:
Y (0.0000, 0.0000, 0.0000) (multiplicity 1)  12 Cr 3.27
Cr (0.0000, 0.5000, 0.5000) (multiplicity 3)  2 Rh 2.31
Rh (0.5000, 0.5000, 0.5000) (multiplicity 1)  6 Cr 2.31

Output
As for the density of states at the Fermi level: 7.0 states/eV per cell. The value obtained for the total energy is -8.114 eV/atom. For the total magnetic moment, the calculation gives 8.68 μB/f.u. The energy of formation from the pure elements comes out at 1023.6 meV per atom.

---

Crystalline Zn3CrRh at its relaxed geometry, computed with GGA-PBEsol.

Cell lengths 4.6305, 4.6305, 4.6305 Å; angles 90.00, 90.00, 90.00 degrees
With the nearest neighbours (Å) after each atom.
Space group Pm-3m (No. 221)
Inequivalent atoms, fractional coordinates:
Zn (0.0000, 0.0000, 0.5000) (multiplicity 3)  2 Rh 2.32
Cr (0.5000, 0.5000, 0.5000) (multiplicity 1)  12 Zn 3.27
Rh (0.0000, 0.0000, 0.0000) (multiplicity 1)  6 Zn 2.32

Output
As for the density of states at the Fermi level: 2.3 states/eV per cell. The value obtained for the total energy is -3.972 eV/atom. For the total magnetic moment, the calculation gives 4.78 μB/f.u. The energy of formation from the pure elements comes out at 653.2 meV per atom.

---

Crystalline ZnCrRh3 at its relaxed geometry, computed with GGA-PBEsol.

Cell lengths 4.4191, 4.4191, 4.4191 Å; angles 90.00, 90.00, 90.00 degrees
With the nearest neighbours (Å) after each atom.
Space group Pm-3m (No. 221)
Inequivalent atoms, fractional coordinates:
Zn (0.0000, 0.0000, 0.0000) (multiplicity 1)  6 Rh 2.21
Cr (0.5000, 0.5000, 0.5000) (multiplicity 1)  12 Rh 3.12
Rh (0.0000, 0.0000, 0.5000) (multiplicity 3)  2 Zn 2.21

Output
As for the density of states at the Fermi level: 7.3 states/eV per cell. The value obtained for the total energy is -5.977 eV/atom. For the total magnetic moment, the calculation gives 1.44 μB/f.u. The value obtained for the relative energy among the computed polymorphs is 35.0 kJ per mole of atoms. The energy of formation from the pure elements comes out at 1270.4 meV per atom.

---

Which formula does entry 3 have?
Zn3CrRh

---

Which of these has the highest total magnetic moment?
YCr3Rh

---

Which of these has the highest total magnetic moment?
YCr3Rh